DFT (PBE) results for an optimized crystal structure of TaSiI3.

abc: 5.561 5.561 5.561
angles: 90.00 90.00 90.00
Space group Pm-3m (No. 221)
Inequivalent atoms, fractional coordinates:
1 Ta 0.000 0.000 0.000
2 Si 0.500 0.500 0.500
3 I 0.000 0.000 0.500

## Properties
Uncorrected formation energy: 0.800 eV per atom
Offset from the most stable computed form: 0 meV/atom


DFT (PBE) results for an optimized crystal structure of NdY7Ho3.

abc: 6.929 5.567 9.978
angles: 90.00 109.28 90.00
Space group P2/m (No. 10)
Inequivalent atoms, fractional coordinates:
1 Nd 0.000 0.000 0.000
2 Y 0.000 0.000 0.500
3 Y 0.148 0.500 0.788
4 Y 0.323 0.500 0.140
5 Y 0.425 0.000 0.331
6 Ho 0.277 0.500 0.496
7 Ho 0.500 0.000 0.000

## Properties
Calculated formation energy: 0.144 eV/atom


DFT (PBE) results for an optimized crystal structure of LaIn2Pd.

abc: 3.3713 3.3713 32.0107
angles: 90.00 90.00 120.00
Space group R-3m (No. 166, hexagonal axes)
Inequivalent atoms, fractional coordinates:
1 La 0.0000 0.0000 0.0000
2 In 0.0000 0.0000 0.1029
3 Pd 0.0000 0.0000 0.5000

## Properties
Calculated formation energy: -0.057 eV/atom


DFT (PBE) results for an optimized crystal structure of CsAlCo2H8.

abc: 4.3964 4.3964 21.5699
angles: 90.00 90.00 120.00
Space group R-3 (No. 148, hexagonal axes)
Inequivalent atoms, fractional coordinates:
1 Cs 0.0000 0.0000 0.0000
2 Al 0.0000 0.0000 0.5000
3 Co 0.0000 0.0000 0.1866
4 H 0.0000 0.0000 0.2590
5 H 0.0363 0.2803 0.8736

## Properties
Energy: -3.878 eV per atom


DFT (PBE) results for an optimized crystal structure of CsYCl3.

abc: 19.807 4.124 9.163
angles: 90.00 96.11 90.00
Space group C2/m (No. 12)
Inequivalent atoms, fractional coordinates:
1 Cs 0.147 0.000 0.127
2 Y 0.075 0.500 0.636
3 Cl 0.024 0.000 0.793
4 Cl 0.137 0.000 0.507
5 Cl 0.180 0.500 0.850

## Properties
Uncorrected formation energy: -1.874 eV per atom


DFT (PBE) results for an optimized crystal structure of Sm4Bi3N2.

abc: 14.140 3.955 9.607
angles: 90.00 114.60 90.00
Space group C2/m (No. 12)
Inequivalent atoms, fractional coordinates:
1 Sm 0.135 0.000 0.431
2 Sm 0.204 0.500 0.146
3 Bi 0.000 0.000 0.000
4 Bi 0.089 0.500 0.744
5 N 0.199 0.500 0.369

## Properties
Uncorrected formation energy: -0.969 eV per atom